(1)
A crystal of Sr3Li relaxed with PBEsol. Source: the Alexandria database, functional SCAN.

```
Sr3Li
1.0
-2.156 3.259 6.413
2.156 -3.259 6.413
2.156 3.259 -6.413
Sr Li
3 1
Direct
0.000 0.000 0.000
0.281 0.781 0.500
0.719 0.219 0.500
0.500 0.500 0.000
```

Summary:
Total magnetization   0.11 Bohr magnetons per cell
ΔE_f   0.03 eV per atom


(2)
A crystal of LiBrN3 relaxed with PBEsol. Source: the Alexandria database, functional SCAN.

```
LiBrN3
1.0
3.969 0.000 0.000
0.000 3.969 0.000
0.000 0.000 3.969
Li Br N
1 1 3
Direct
0.000 0.000 0.000
0.500 0.500 0.500
0.000 0.500 0.500
0.500 0.000 0.500
0.500 0.500 0.000
```

Summary:
Formation energy without anion corrections   2.3068 eV per atom
Total magnetization   2.98 Bohr magnetons per cell


(3)
A crystal of FeSbSe2 relaxed with PBEsol. Source: the Alexandria database, functional SCAN.

```
FeSbSe2
1.0
2.927 0.000 0.000
0.000 2.927 0.000
0.000 0.000 9.029
Fe Sb Se
1 1 2
Direct
0.000 0.000 0.000
0.500 0.500 0.211
0.000 0.000 0.532
0.500 0.500 0.862
```

Summary:
Formation energy without anion corrections   0.2320 eV per atom
Total magnetization   1.11 Bohr magnetons per cell


(4)
A crystal of ZnFeIr relaxed with PBEsol. Source: the Alexandria database, functional SCAN.

```
ZnFeIr
1.0
-1.356 1.816 3.937
1.356 -1.816 3.937
1.356 1.816 -3.937
Zn Fe Ir
1 1 1
Direct
0.000 0.000 0.000
0.669 0.669 0.000
0.330 0.330 0.000
```

Summary:
Total magnetization   3.52 Bohr magnetons per cell
ΔE_f   -0.17 eV per atom


(5)
A crystal of Li4V2Co3Sb3O16 relaxed with PBEsol. Source: the Alexandria database, functional SCAN.

```
Li4V2Co3Sb3O16
1.0
5.309 -2.984 0.000
5.309 2.984 0.000
-0.103 0.000 9.403
Li V Co Sb O
4 2 3 3 16
Direct
0.000 0.000 0.000
0.015 0.015 0.532
0.294 0.294 0.618
0.660 0.660 0.115
0.305 0.305 0.011
0.613 0.613 0.557
0.160 0.160 0.298
0.339 0.773 0.790
0.773 0.339 0.790
0.161 0.655 0.298
0.655 0.161 0.298
0.810 0.810 0.801
0.036 0.480 0.168
0.151 0.635 0.919
0.166 0.166 0.923
0.322 0.810 0.418
0.325 0.325 0.411
0.473 0.473 0.656
0.476 0.476 0.170
0.480 0.036 0.168
0.501 0.929 0.662
0.635 0.151 0.919
0.647 0.647 0.909
0.810 0.322 0.418
0.838 0.838 0.415
0.929 0.501 0.662
0.983 0.983 0.718
0.993 0.993 0.192
```

Summary:
Formation energy without anion corrections   -1.8295 eV per atom
Total magnetization   9.67 Bohr magnetons per cell


(6)
A crystal of K2CrSe relaxed with PBEsol. Source: the Alexandria database, functional SCAN.

```
K2CrSe
1.0
5.841 -2.299 0.000
5.841 2.299 0.000
-2.995 0.000 5.113
K Cr Se
2 1 1
Direct
0.000 0.000 0.000
0.185 0.185 0.684
0.383 0.383 0.382
0.824 0.824 0.324
```

Summary:
Formation energy without anion corrections   -0.3434 eV per atom
Total magnetization   4.02 Bohr magnetons per cell


(7)
A crystal of Zr2ScPt relaxed with PBEsol. Source: the Alexandria database, functional SCAN.

```
Zr2ScPt
1.0
3.315 0.000 0.000
0.000 3.315 0.000
0.000 0.000 7.221
Zr Sc Pt
2 1 1
Direct
0.000 0.000 0.000
0.500 0.500 0.276
0.500 0.500 0.716
0.000 0.000 0.496
```

Summary:
Total magnetization   0.00 Bohr magnetons per cell
ΔE_f   -0.68 eV per atom


(8)
A crystal of Re2HgCl relaxed with PBEsol. Source: the Alexandria database, functional SCAN.

```
Re2HgCl
1.0
1.376 -2.514 0.000
1.376 2.514 0.000
0.000 0.000 9.364
Re Hg Cl
2 1 1
Direct
0.000 0.000 0.233
0.000 0.000 0.767
0.500 0.500 0.500
0.500 0.500 0.000
```

Summary:
Formation energy without anion corrections   1.1158 eV per atom
Total magnetization   1.34 Bohr magnetons per cell


Please write out number 6 again, unchanged.
A crystal of K2CrSe relaxed with PBEsol. Source: the Alexandria database, functional SCAN.

```
K2CrSe
1.0
5.841 -2.299 0.000
5.841 2.299 0.000
-2.995 0.000 5.113
K Cr Se
2 1 1
Direct
0.000 0.000 0.000
0.185 0.185 0.684
0.383 0.383 0.382
0.824 0.824 0.324
```

Summary:
Formation energy without anion corrections   -0.3434 eV per atom
Total magnetization   4.02 Bohr magnetons per cell